Entry 1:
VASP calculation (PBE) on a geometry-optimized Pr2CuAu structure.

Values from the calculation:
calculated formation energy	-1.9	eV/f.u.
electronic total energy	-4.702	eV per atom

Cell: 5.974 4.699 7.939 Å, 90.00 111.66 90.00°
Space group P2_1/m (No. 11)
Symmetry-distinct sites (fractional):
Pr 0.214 0.250 0.427 (multiplicity 2)
Pr 0.229 0.250 0.927 (multiplicity 2)
Cu 0.354 0.750 0.707 (multiplicity 2)
Au 0.346 0.750 0.213 (multiplicity 2)


Entry 2:
VASP calculation (PBE) on a geometry-optimized Pr3Cu4Au4 structure.

Values from the calculation:
calculated formation energy	-5.1	eV/f.u.
electronic total energy	-4.453	eV per atom

Cell: 4.376 7.144 14.684 Å, 90.00 90.00 90.00°
Space group Immm (No. 71)
Symmetry-distinct sites (fractional):
Pr 0.000 0.000 0.000 (multiplicity 2)
Pr 0.000 0.500 0.138 (multiplicity 4)
Cu 0.000 0.312 0.329 (multiplicity 8)
Au 0.000 0.000 0.213 (multiplicity 4)
Au 0.000 0.196 0.500 (multiplicity 4)


Entry 3:
VASP calculation (PBE) on a geometry-optimized Pr4Cu3Au structure.

Values from the calculation:
calculated formation energy	-2.5	eV/f.u.
electronic total energy	-4.648	eV per atom

Cell: 4.004 4.647 10.808 Å, 90.00 90.00 90.00°
Space group Pmm2 (No. 25)
Symmetry-distinct sites (fractional):
Pr 0.000 0.000 0.000 (multiplicity 1)
Pr 0.000 0.500 0.274 (multiplicity 1)
Pr 0.500 0.000 0.488 (multiplicity 1)
Pr 0.500 0.500 0.777 (multiplicity 1)
Cu 0.000 0.500 0.560 (multiplicity 1)
Cu 0.500 0.000 0.201 (multiplicity 1)
Cu 0.500 0.500 0.069 (multiplicity 1)
Au 0.000 0.000 0.707 (multiplicity 1)


Entry 4:
VASP calculation (PBE) on a geometry-optimized PrCuAu4 structure.

Values from the calculation:
calculated formation energy	-1.8	eV/f.u.
electronic total energy	-3.965	eV per atom

Cell: 7.880 7.880 7.880 Å, 90.00 90.00 90.00°
Space group F-43m (No. 216)
Symmetry-distinct sites (fractional):
Pr 0.000 0.000 0.000 (multiplicity 4)
Cu 0.250 0.250 0.750 (multiplicity 4)
Au 0.124 0.124 0.376 (multiplicity 16)